First-principles (PBEsol) data for a geometry-optimized Dy2Co3Ge5 structure, as listed in the Alexandria database.

Output
energy relative to the elements: -0.67 eV/atom
total energy: -6.45 eV/atom

abc: 5.6330 7.9669 7.9669
angles: 94.00 109.41 109.41
Positions (direct):
Dy 0.2668 0.1275 0.4075
Dy 0.2332 0.5925 0.8725
Dy 0.7668 0.4075 0.1275
Dy 0.7332 0.8725 0.5925
Co 0.2500 0.9962 0.0038
Co 0.7500 0.0038 0.9962
Co 0.3779 0.5439 0.2636
Co 0.8779 0.2636 0.5439
Co 0.6221 0.4561 0.7364
Co 0.1221 0.7364 0.4561
Ge 0.2500 0.4894 0.5106
Ge 0.7500 0.5106 0.4894
Ge 0.2500 0.2278 0.7722
Ge 0.7500 0.7722 0.2278
Ge 0.1743 0.2621 0.0789
Ge 0.3257 0.9211 0.7379
Ge 0.7500 0.2128 0.7872
Ge 0.2500 0.7872 0.2128
Ge 0.6743 0.0789 0.2621
Ge 0.8257 0.7379 0.9211